! In3SnPt3 PBE optimized geometry; values from VASP
! Symmetry: P2_13
! Magnetization, μB per atom: 0.000
! Formation enthalpy at 0 K, kJ/mol of atoms: -32.93
&SYSTEM
  ibrav = 0, nat = 28, ntyp = 3
/
ATOMIC_SPECIES
In 114.82 In.upf
Sn 118.71 Sn.upf
Pt 195.08 Pt.upf
ATOMIC_POSITIONS crystal
In 0.0491 0.4509 0.5491
In 0.1407 0.8593 0.3593
In 0.1917 0.1917 0.1917
In 0.3083 0.8083 0.6917
In 0.3593 0.1407 0.8593
In 0.4509 0.5491 0.0491
In 0.5491 0.0491 0.4509
In 0.6407 0.6407 0.6407
In 0.6917 0.3083 0.8083
In 0.8083 0.6917 0.3083
In 0.8593 0.3593 0.1407
In 0.9509 0.9509 0.9509
Sn 0.0828 0.5828 0.9172
Sn 0.4172 0.4172 0.4172
Sn 0.5828 0.9172 0.0828
Sn 0.9172 0.0828 0.5828
Pt 0.0342 0.2595 0.8499
Pt 0.1501 0.5342 0.2405
Pt 0.2405 0.1501 0.5342
Pt 0.2595 0.8499 0.0342
Pt 0.3499 0.4658 0.7405
Pt 0.4658 0.7405 0.3499
Pt 0.5342 0.2405 0.1501
Pt 0.6501 0.9658 0.7595
Pt 0.7405 0.3499 0.4658
Pt 0.7595 0.6501 0.9658
Pt 0.8499 0.0342 0.2595
Pt 0.9658 0.7595 0.6501
CELL_PARAMETERS angstrom
8.2419 0.0000 0.0000
0.0000 8.2419 0.0000
0.0000 0.0000 8.2419